(1)
Compound: Cu2HRhPb
Source: the Alexandria database
Functional: PBE-GGA
Structure: optimized geometry

Its crystal system is tetragonal.

The space group is P4/mmm (No. 123) and the conventional cell measures 4.1605, 4.1605 and 3.7806 Å, with angles of 90.00, 90.00 and 90.00 degrees. The distinct sites, in fractional coordinates, are Cu at (0.0000, 0.5000, 0.0000), H at (0.0000, 0.0000, 0.0000), Rh at (0.0000, 0.0000, 0.5000) and Pb at (0.5000, 0.5000, 0.5000).

(2)
Compound: CuH8Rh2Pb
Source: the Alexandria database
Functional: PBE-GGA
Structure: optimized geometry

Its crystal system is trigonal.

The space group is R-3 (No. 148, hexagonal axes) and the conventional cell measures 4.7204, 4.7204 and 17.7287 Å, with angles of 90.00, 90.00 and 120.00 degrees. The distinct sites, in fractional coordinates, are Cu at (0.0000, 0.0000, 0.0000), H at (0.0000, 0.0000, 0.2057), H at (0.0101, 0.3031, 0.6215), Rh at (0.0000, 0.0000, 0.2985) and Pb at (0.0000, 0.0000, 0.5000).

(3)
Compound: CuH6RuPb2
Source: the Alexandria database
Functional: PBE-GGA
Structure: optimized geometry

Its crystal system is monoclinic.

The space group is C2/m (No. 12) and the conventional cell measures 7.3950, 7.4437 and 5.3608 Å, with angles of 90.00, 133.27 and 90.00 degrees. The distinct sites, in fractional coordinates, are Cu at (0.0000, 0.0000, 0.0000), H at (0.0000, 0.2560, 0.0000), H at (0.2280, 0.5000, 0.4571), H at (0.2465, 0.5000, 0.0002), Ru at (0.0000, 0.5000, 0.0000) and Pb at (0.0000, 0.2516, 0.5000).

(4)
Compound: CuHPb2S
Source: the Alexandria database
Functional: PBE-GGA
Structure: optimized geometry

Its crystal system is tetragonal.

The space group is P4/mmm (No. 123) and the conventional cell measures 5.6738, 5.6738 and 3.3138 Å, with angles of 90.00, 90.00 and 90.00 degrees. The distinct sites, in fractional coordinates, are Cu at (0.0000, 0.0000, 0.0000), H at (0.5000, 0.5000, 0.0000), Pb at (0.0000, 0.5000, 0.5000) and S at (0.5000, 0.5000, 0.5000).

(5)
Compound: CuSbHPb2
Source: the Alexandria database
Functional: PBE-GGA
Structure: optimized geometry

Its crystal system is tetragonal.

The space group is P4/mmm (No. 123) and the conventional cell measures 5.8074, 5.8074 and 3.3344 Å, with angles of 90.00, 90.00 and 90.00 degrees. The distinct sites, in fractional coordinates, are Cu at (0.0000, 0.0000, 0.0000), Sb at (0.5000, 0.5000, 0.5000), H at (0.0000, 0.0000, 0.5000) and Pb at (0.0000, 0.5000, 0.0000).

(6)
Compound: CuSb2HPb
Source: the Alexandria database
Functional: PBE-GGA
Structure: optimized geometry

Its crystal system is tetragonal.

The space group is P4/mmm (No. 123) and the conventional cell measures 5.6596, 5.6596 and 3.3277 Å, with angles of 90.00, 90.00 and 90.00 degrees. The distinct sites, in fractional coordinates, are Cu at (0.0000, 0.0000, 0.0000), Sb at (0.0000, 0.5000, 0.0000), H at (0.0000, 0.0000, 0.5000) and Pb at (0.5000, 0.5000, 0.5000).

no.,Fermi-level density of states (states/eV/atom),uncorrected energy (eV per cell),magnetic moment (Bohr magnetons per cell)
1,0.4560,-22.0,0.000
2,0.2013,-144.8,0.000
3,0.1939,-77.7,0.000
4,0.4471,-17.9,0.000
5,0.4204,-17.9,0.000
6,0.3741,-18.4,0.000